The following is a PBE-GGA calculation of a geometry-optimized TiIn4 structure, from Alexandria via LeMat-Bulk.

Results
The total moment comes out at 1.51 μB/cell. For the total energy, the calculation gives -16.81 eV for the cell shown. As for the density of states at the Fermi level: 0.7844 states/eV per atom. The calculation puts the volume at 159.0 Å³ per cell. As for the space group: Pm-3m (221).

Cell lengths 5.418, 5.418, 5.418 Å; angles 90.00, 90.00, 90.00 degrees
Fractional coordinates of all 5 atoms:
In (0.000, 0.000, 0.000)
In (0.500, 0.000, 0.500)
In (0.000, 0.500, 0.500)
In (0.500, 0.500, 0.000)
Ti (0.500, 0.500, 0.500)